(1)
The following is a PBE calculation of a relaxed structure of BeFe, from Alexandria. Values from VASP.

```
&SYSTEM
  ibrav = 0, nat = 4, ntyp = 2
/
ATOMIC_SPECIES
Be 9.01 Be.upf
Fe 55.84 Fe.upf
CELL_PARAMETERS angstrom
-1.9781 -1.6237 0.2410
1.1941 -1.1645 1.9558
-2.3535 3.3791 3.4489
ATOMIC_POSITIONS crystal
Be 0.2500 0.2500 0.1092
Be 0.7500 0.7500 0.8908
Fe 0.2500 0.2500 0.6365
Fe 0.7500 0.7500 0.3635
```

## Properties
SG: No. 129
Mass density, g/cm³: 6.07
D(E_F), states/eV/atom: 0.33
Energy relative to the elements, eV/atom: -0.140


(2)
The following is a PBE calculation of a relaxed structure of KTl3Cd3, from Alexandria. Values from VASP.

```
&SYSTEM
  ibrav = 0, nat = 14, ntyp = 3
/
ATOMIC_SPECIES
Cd 112.41 Cd.upf
K 39.10 K.upf
Tl 204.38 Tl.upf
CELL_PARAMETERS angstrom
-6.3658 6.0224 -1.5228
-4.2872 0.0661 -7.7928
-7.8847 -1.9570 -0.7548
ATOMIC_POSITIONS crystal
Cd 0.3030 0.9424 0.8145
Cd 0.6970 0.0576 0.1855
Cd 0.9424 0.9402 0.8145
Cd 0.9402 0.3030 0.8145
Cd 0.0598 0.6970 0.1855
Cd 0.0576 0.0598 0.1855
K 0.3731 0.3731 0.8806
K 0.6269 0.6269 0.1194
Tl 0.3272 0.9391 0.4062
Tl 0.6728 0.0609 0.5938
Tl 0.6725 0.6728 0.5938
Tl 0.9391 0.3275 0.4062
Tl 0.0609 0.6725 0.5938
Tl 0.3275 0.3272 0.4062
```

## Properties
SG: No. 148
Mass density, g/cm³: 7.57
D(E_F), states/eV/atom: 0.30
Energy relative to the lowest polymorph listed for this composition, eV/f.u.: 0.00
Energy relative to the elements, eV/atom: -0.030